{"formula": "GdSbPbSe3", "functional": "PBE", "state": "optimized geometry", "energy_ev_per_atom": -4.52, "cell": [[4.165, 5.639, 3.271], [-5.134, -2.043, -5.415], [-7.834, 1.893, 6.713]], "species": ["Se", "Se", "Sb", "Pb", "Se", "Gd", "Se", "Gd", "Se", "Se", "Sb", "Pb"], "frac_coords": [[0.887, 0.113, 0.750], [0.113, 0.887, 0.250], [0.449, 0.551, 0.250], [0.746, 0.254, 0.250], [0.363, 0.637, 0.479], [0.000, 0.000, 0.500], [0.637, 0.363, 0.979], [0.000, 0.000, 0.000], [0.637, 0.363, 0.521], [0.363, 0.637, 0.021], [0.551, 0.449, 0.750], [0.254, 0.746, 0.750]]}